Entry from Alexandria via LeMat-Bulk: Ca2BiS4 after structural relaxation (PBE).

Lattice parameters (Å, degrees): 8.461 8.461 8.758 90.00 90.00 90.00
Space group I-42d (No. 122)
Unique sites:
Ca1 0.127 0.250 0.125
Bi1 0.000 0.000 0.500
S1 0.063 0.177 0.804

Output
The calculation puts the calculated density at 4.42 g cm⁻³. The calculation puts the uncorrected formation energy at -1141 meV/atom. The value obtained for the density of states at the Fermi level is 0.74 states/eV/atom.